[1]
{
  "formula": "TeC5",
  "functional": "PBE",
  "state": "optimized geometry",
  "lattice_angstrom": [[1.4250, 3.6639, -0.3944], [-1.4250, 3.6639, -0.3944], [0.0000, 1.2113, 7.3749]],
  "species": ["Te", "C", "C", "C", "C", "C"],
  "fractional_positions": [[0.3404, 0.3404, 0.0347], [0.9932, 0.9932, 0.8717], [0.5221, 0.5221, 0.2408], [0.4910, 0.4910, 0.5926], [0.4981, 0.4981, 0.4089], [0.9885, 0.9885, 0.6846]],
  "mass_density_g_cm3": 4.0,
  "total_magnetization_mub_per_fu": 0.00,
  "final_energy_ev_per_fu": -41.328,
  "e_form_raw_ev_per_atom": 1.322,
  "e_above_lowest_polymorph_ev_per_fu": 1.138
}

---

[2]
{
  "formula": "HfGaOF2",
  "functional": "PBE",
  "state": "optimized geometry",
  "lattice_angstrom": [[-1.0022, -1.5855, -3.9125], [4.2200, -0.2670, -0.9728], [0.1070, -3.7580, 1.4955]],
  "species": ["Hf", "O", "Ga", "F", "F"],
  "fractional_positions": [[0.0000, 0.0000, 0.0000], [0.0000, 0.0000, 0.5000], [0.5000, 0.5000, 0.5000], [0.0000, 0.5000, 0.0000], [0.5000, 0.0000, 0.0000]],
  "mass_density_g_cm3": 6.6,
  "total_magnetization_mub_per_fu": 0.56,
  "final_energy_ev_per_fu": -33.584,
  "e_form_raw_ev_per_atom": -2.380,
  "e_above_lowest_polymorph_ev_per_fu": 0.000
}

---

[3]
{
  "formula": "CdSiMoPt2",
  "functional": "PBE",
  "state": "optimized geometry",
  "lattice_angstrom": [[4.8871, 0.0000, 0.0000], [0.0000, 4.6825, 0.0000], [0.0000, 0.0000, 4.8871]],
  "species": ["Mo", "Si", "Pt", "Pt", "Cd"],
  "fractional_positions": [[0.0000, 0.0000, 0.0000], [0.0000, 0.5000, 0.0000], [0.0000, 0.0000, 0.5000], [0.5000, 0.0000, 0.0000], [0.5000, 0.5000, 0.5000]],
  "mass_density_g_cm3": 9.3,
  "total_magnetization_mub_per_fu": 0.00,
  "final_energy_ev_per_fu": -25.170,
  "e_form_raw_ev_per_atom": 0.816
}

---

[4]
{
  "formula": "Dy3MgAl8",
  "functional": "PBE",
  "state": "optimized geometry",
  "lattice_angstrom": [[5.5545, 0.0000, 0.0000], [-2.7773, 4.8104, 0.0000], [0.0000, 0.0000, 8.9258]],
  "species": ["Dy", "Dy", "Dy", "Mg", "Al", "Al", "Al", "Al", "Al", "Al", "Al", "Al"],
  "fractional_positions": [[0.6667, 0.3333, 0.4394], [0.6667, 0.3333, 0.0714], [0.0000, 0.0000, 0.9320], [0.0000, 0.0000, 0.5592], [0.3333, 0.6667, 0.5021], [0.3333, 0.6667, 0.9966], [0.5050, 0.0101, 0.7490], [0.5050, 0.4950, 0.7490], [0.9899, 0.4950, 0.7490], [0.1627, 0.3254, 0.2507], [0.1627, 0.8373, 0.2507], [0.6746, 0.8373, 0.2507]],
  "mass_density_g_cm3": 5.1,
  "total_magnetization_mub_per_fu": 0.00,
  "final_energy_ev_per_fu": -50.006,
  "formation_enthalpy_0k_ev_per_atom": -0.39,
  "e_above_lowest_polymorph_ev_per_fu": 0.026
}

---

[5]
{
  "formula": "Tb2Pm6Dy3",
  "functional": "PBE",
  "state": "optimized geometry",
  "lattice_angstrom": [[5.4492, -1.7724, 2.4613], [-1.3352, 7.3621, 3.0316], [3.5626, 6.0249, 15.0229]],
  "species": ["Tb", "Tb", "Pm", "Pm", "Pm", "Pm", "Pm", "Pm", "Dy", "Dy", "Dy"],
  "fractional_positions": [[0.5480, 0.2746, 0.1806], [0.4520, 0.7254, 0.8194], [0.7241, 0.3618, 0.9107], [0.9090, 0.4533, 0.6363], [0.2759, 0.6382, 0.0893], [0.0910, 0.5467, 0.3637], [0.6352, 0.8158, 0.5462], [0.3648, 0.1842, 0.4538], [0.0000, 0.0000, 0.0000], [0.8207, 0.9118, 0.2713], [0.1793, 0.0882, 0.7287]],
  "mass_density_g_cm3": 7.6,
  "total_magnetization_mub_per_fu": 0.00,
  "final_energy_ev_per_fu": -51.425,
  "formation_enthalpy_0k_ev_per_atom": 0.01,
  "e_above_lowest_polymorph_ev_per_fu": 0.000
}

---

[6]
{
  "formula": "Al2Tc2Pb",
  "functional": "PBE",
  "state": "optimized geometry",
  "lattice_angstrom": [[7.1040, 0.0000, 0.0000], [0.0000, 7.1040, 0.0000], [0.0000, 0.0000, 3.3714]],
  "species": ["Pb", "Pb", "Tc", "Tc", "Tc", "Tc", "Al", "Al", "Al", "Al"],
  "fractional_positions": [[0.0000, 0.0000, 0.0000], [0.5000, 0.5000, 0.0000], [0.3475, 0.8475, 0.0000], [0.8475, 0.6525, 0.0000], [0.6525, 0.1525, 0.0000], [0.1525, 0.3475, 0.0000], [0.1378, 0.6378, 0.5000], [0.6378, 0.8622, 0.5000], [0.8622, 0.3622, 0.5000], [0.3622, 0.1378, 0.5000]],
  "mass_density_g_cm3": 8.9,
  "total_magnetization_mub_per_fu": 0.00,
  "final_energy_ev_per_fu": -31.764,
  "formation_enthalpy_0k_ev_per_atom": 0.03,
  "e_above_lowest_polymorph_ev_per_fu": 0.000
}